[1]
Nd6Sm2Ga: optimized geometry, PBE-GGA.

Computed properties:
space-group type = No. 58
ΔE_f = -0.0469 eV/atom
crystal system = orthorhombic

Cell: 5.567 10.129 10.531 Å, 90.00 90.01 90.00°
Element x y z (fractional)
Nd 0.000 0.021 0.195
Nd 0.000 0.692 0.568
Nd 0.000 0.632 0.895
Nd 0.500 0.132 0.605
Nd 0.500 0.192 0.932
Nd 0.500 0.521 0.305
Nd 0.000 0.979 0.805
Nd 0.000 0.308 0.432
Nd 0.000 0.368 0.105
Nd 0.500 0.868 0.395
Nd 0.500 0.808 0.068
Nd 0.500 0.479 0.695
Sm 0.000 0.304 0.756
Sm 0.500 0.804 0.744
Sm 0.500 0.196 0.256
Sm 0.000 0.696 0.244
Ga 0.500 0.500 0.000
Ga 0.000 0.000 0.500

***

[2]
NdSm2Ga: optimized geometry, PBE-GGA.

Computed properties:
space-group type = No. 63
ΔE_f = -0.2386 eV/atom
crystal system = orthorhombic

Cell: 4.281 6.451 9.296 Å, 90.00 90.00 109.37°
Element x y z (fractional)
Nd 0.940 0.880 0.250
Nd 0.060 0.120 0.750
Sm 0.356 0.712 0.554
Sm 0.644 0.288 0.446
Sm 0.356 0.712 0.946
Sm 0.644 0.288 0.054
Ga 0.747 0.495 0.750
Ga 0.253 0.505 0.250

***

Copy entry 1 word for word.
Nd6Sm2Ga: optimized geometry, PBE-GGA.

Computed properties:
space-group type = No. 58
ΔE_f = -0.0469 eV/atom
crystal system = orthorhombic

Cell: 5.567 10.129 10.531 Å, 90.00 90.01 90.00°
Element x y z (fractional)
Nd 0.000 0.021 0.195
Nd 0.000 0.692 0.568
Nd 0.000 0.632 0.895
Nd 0.500 0.132 0.605
Nd 0.500 0.192 0.932
Nd 0.500 0.521 0.305
Nd 0.000 0.979 0.805
Nd 0.000 0.308 0.432
Nd 0.000 0.368 0.105
Nd 0.500 0.868 0.395
Nd 0.500 0.808 0.068
Nd 0.500 0.479 0.695
Sm 0.000 0.304 0.756
Sm 0.500 0.804 0.744
Sm 0.500 0.196 0.256
Sm 0.000 0.696 0.244
Ga 0.500 0.500 0.000
Ga 0.000 0.000 0.500

***

Which of these has the lowest ΔE_f? NdSm2Ga

***

The highest ΔE_f belongs to which entry? Nd6Sm2Ga